No. 1
Computed, not measured: a relaxed ZrAl2 crystal at the GGA-PBE level of DFT.

M_tot, μB/cell: 0.00
Symmetry: No. 194
Calculated density, Mg/m³: 4.530
Uncorrected energy, eV per atom: -5.882

Structure (extended XYZ):
```
24
Lattice="-3.828 -0.178 3.671 1.320 -4.391 -2.672 11.878 -3.854 12.198" Properties=species:S:1:pos:R:3 pbc="T T T"
Al -1.914 -0.089 1.836
Al 0.660 -2.195 -1.336
Al -1.254 -2.284 0.499
Al 1.101 -3.472 0.980
Al 2.777 -2.415 2.778
Al 3.455 -4.671 1.405
Al 1.488 -4.763 3.292
Al 4.045 -4.427 4.003
Al 4.025 -2.016 7.935
Al 6.599 -4.122 4.763
Al 4.685 -4.211 6.598
Al 5.325 -3.995 9.193
Al 7.882 -3.659 9.905
Al 5.915 -3.751 11.792
Al 6.593 -6.007 10.419
Al 8.269 -4.950 12.217
Zr 1.093 -0.355 1.123
Zr -0.252 -2.185 3.466
Zr 1.968 -2.906 5.746
Zr 4.846 -1.572 4.976
Zr 7.032 -2.282 7.222
Zr 7.402 -5.517 7.451
Zr 9.622 -6.237 9.731
Zr 10.785 -3.499 11.075
```


No. 2
Computed, not measured: a relaxed ZrAl2 crystal at the GGA-PBE level of DFT.

M_tot, μB/cell: 0.00
Symmetry: No. 194
Calculated density, Mg/m³: 4.528
Uncorrected energy, eV per atom: -5.886

Structure (extended XYZ):
```
12
Lattice="5.296 0.000 0.000 -2.648 4.586 0.000 0.000 0.000 8.769" Properties=species:S:1:pos:R:3 pbc="T T T"
Al 0.000 0.000 0.000
Al 1.357 0.783 2.192
Al 3.939 0.783 2.192
Al 2.648 3.020 2.192
Al 0.000 0.000 4.385
Al 0.000 1.567 6.577
Al -1.291 3.803 6.577
Al 1.291 3.803 6.577
Zr 0.000 3.058 0.563
Zr 0.000 3.058 3.821
Zr 2.648 1.529 4.948
Zr 2.648 1.529 8.206
```


No. 3
Computed, not measured: a relaxed Zr2Al crystal at the GGA-PBE level of DFT.

M_tot, μB/cell: 0.03
Symmetry: No. 194
Calculated density, Mg/m³: 5.314
Uncorrected energy, eV per atom: -6.670

Structure (extended XYZ):
```
12
Lattice="-0.487 0.266 5.674 -1.091 -4.885 -2.729 8.918 -2.483 0.882" Properties=species:S:1:pos:R:3 pbc="T T T"
Al -0.367 -3.314 0.124
Al 3.047 -4.264 0.461
Al 4.294 -2.839 3.365
Al 7.707 -3.789 3.703
Zr 0.000 0.000 0.000
Zr 1.877 -1.364 1.692
Zr 1.639 -1.235 4.460
Zr 1.107 -3.618 3.129
Zr 4.459 -1.242 0.441
Zr 6.233 -3.485 0.698
Zr 5.701 -5.869 -0.634
Zr 5.463 -5.739 2.135
```


No. 4
Computed, not measured: a relaxed Zr4Al3 crystal at the GGA-PBE level of DFT.

M_tot, μB/cell: 0.00
E above lowest polymorph, kJ/mol of formula units: 0
Symmetry: No. 176
Calculated density, Mg/m³: 5.255
Uncorrected energy, eV per atom: -6.838

Structure (extended XYZ):
```
14
Lattice="5.413 6.250 0.000 -2.706 7.813 0.000 0.000 0.000 4.759" Properties=species:S:1:pos:R:3 pbc="T T T"
Al 0.084 3.039 0.000
Al 0.032 6.366 0.000
Al 2.590 10.908 0.000
Al 1.720 3.211 2.379
Al 1.921 9.405 2.379
Al -0.935 7.697 2.379
Zr 2.408 4.766 0.000
Zr 2.923 8.032 0.000
Zr 0.000 9.375 0.000
Zr 2.788 13.766 0.000
Zr 4.809 7.735 2.379
Zr 1.723 6.548 2.379
Zr -0.902 4.688 2.379
Zr 1.588 12.281 2.379
```


No. 5
Computed, not measured: a relaxed Zr2Al crystal at the GGA-PBE level of DFT.

M_tot, μB/cell: 6.26
Symmetry: No. 227
Calculated density, Mg/m³: 1.641
Uncorrected energy, eV per atom: -4.286

Structure (extended XYZ):
```
6
Lattice="3.976 -3.153 6.733 4.863 -6.841 -0.797 8.378 0.684 0.651" Properties=species:S:1:pos:R:3 pbc="T T T"
Al 4.304 -2.327 1.647
Al 8.609 -4.655 3.293
Zr 6.456 -3.491 2.470
Zr 8.445 -5.068 5.836
Zr 8.888 -6.912 2.071
Zr 10.645 -3.149 2.796
```


No. 6
Computed, not measured: a relaxed ZrAl2 crystal at the GGA-PBE level of DFT.

M_tot, μB/cell: 0.00
Symmetry: No. 191
Calculated density, Mg/m³: 4.442
Uncorrected energy, eV per atom: -5.787

Structure (extended XYZ):
```
3
Lattice="4.412 0.000 0.000 -2.206 3.821 0.000 0.000 0.000 3.220" Properties=species:S:1:pos:R:3 pbc="T T T"
Al 2.206 1.274 1.610
Al 0.000 2.547 1.610
Zr 0.000 0.000 0.000
```


No. 7
Computed, not measured: a relaxed Zr4Al3 crystal at the GGA-PBE level of DFT.

M_tot, μB/cell: 0.06
E above lowest polymorph, kJ/mol of formula units: 89
Symmetry: No. 176
Calculated density, Mg/m³: 5.225
Uncorrected energy, eV per atom: -6.707

Structure (extended XYZ):
```
14
Lattice="5.382 6.215 0.000 -2.691 7.769 0.000 0.000 0.000 4.841" Properties=species:S:1:pos:R:3 pbc="T T T"
Al 2.580 7.769 0.000
Al 0.055 6.311 0.000
Al 0.055 9.226 0.000
Al 1.739 6.311 2.420
Al 1.738 9.226 2.420
Al -0.786 7.768 2.420
Zr 2.586 4.869 0.000
Zr 0.000 3.107 0.000
Zr 2.563 10.680 0.000
Zr -2.458 7.756 0.000
Zr 1.899 2.899 2.420
Zr 4.252 7.781 2.420
Zr -0.770 4.856 2.420
Zr 1.794 12.430 2.420
```


No. 8
Computed, not measured: a relaxed Zr2Al crystal at the GGA-PBE level of DFT.

M_tot, μB/cell: 0.01
Symmetry: No. 227
Calculated density, Mg/m³: 5.296
Uncorrected energy, eV per atom: -6.682

Structure (extended XYZ):
```
6
Lattice="-0.209 3.822 4.231 0.633 5.555 -1.139 -4.462 3.529 0.439" Properties=species:S:1:pos:R:3 pbc="T T T"
Al 0.000 0.000 0.000
Al -1.010 3.226 0.883
Zr -0.293 6.301 1.988
Zr -2.840 5.288 2.776
Zr -2.419 6.155 0.091
Zr -2.524 8.066 2.207
```


> The lowest calculated density belongs to which entry?

number 5


Copy entry 8 word for word.
Computed, not measured: a relaxed Zr2Al crystal at the GGA-PBE level of DFT.

M_tot, μB/cell: 0.01
Symmetry: No. 227
Calculated density, Mg/m³: 5.296
Uncorrected energy, eV per atom: -6.682

Structure (extended XYZ):
```
6
Lattice="-0.209 3.822 4.231 0.633 5.555 -1.139 -4.462 3.529 0.439" Properties=species:S:1:pos:R:3 pbc="T T T"
Al 0.000 0.000 0.000
Al -1.010 3.226 0.883
Zr -0.293 6.301 1.988
Zr -2.840 5.288 2.776
Zr -2.419 6.155 0.091
Zr -2.524 8.066 2.207
```